(1)
A plane-wave DFT calculation with GGA-PBE was carried out for La3Ga2Si after structural relaxation.

The value obtained for the formation energy from raw total energies is -593 meV per atom. The value obtained for the energy is -4.9694 eV per atom.

Unit cell a=12.4784 b=4.1708 c=12.7087 alpha=90.00 beta=90.00 gamma=90.00
Last column: nearest neighbours and their distance in Å.
Space group Pnma (No. 62)
Asymmetric unit:
La  0.0658  0.2500  0.1230 x4  5 Ga 3.18-3.48, 1 Si 3.24
La  0.1150  0.7500  0.5526 x4  3 Si 3.14-3.26, 5 Ga 3.25-3.32
La  0.2058  0.2500  0.7835 x4  2 Si 3.09, 4 Ga 3.19-3.30
Ga  0.0309  0.7500  0.3108 x4  2 Si 2.56
Ga  0.1919  0.7500  0.9806 x4  1 Si 2.60
Si  0.1336  0.2500  0.3690 x4  3 Ga 2.56-2.60

---

(2)
A plane-wave DFT calculation with GGA-PBE was carried out for La4GaSi3 after structural relaxation.

The value obtained for the formation energy from raw total energies is -715 meV per atom. The value obtained for the energy is -5.5907 eV per atom.

Unit cell a=4.0520 b=4.5537 c=11.3937 alpha=90.00 beta=90.00 gamma=90.00
Last column: nearest neighbours and their distance in Å.
Space group Pmm2 (No. 25)
Asymmetric unit:
La  0.0000  0.0000  0.0000 x1  6 Si 3.16-3.27, 1 Ga 3.35
La  0.0000  0.5000  0.4941 x1  5 Si 3.16-3.29, 2 Ga 3.32
La  0.5000  0.0000  0.2782 x1  7 Si 3.16-3.30
La  0.5000  0.5000  0.7813 x1  4 Ga 3.17, 3 Si 3.32-3.33
Ga  0.0000  0.0000  0.7057 x1  2 Si 2.56
Si  0.0000  0.5000  0.2056 x1  2 Si 2.53
Si  0.5000  0.0000  0.5678 x1  2 Ga 2.56
Si  0.5000  0.5000  0.0726 x1  2 Si 2.53

---

(3)
A plane-wave DFT calculation with GGA-PBE was carried out for La2Ga2Si after structural relaxation.

The value obtained for the formation energy from raw total energies is -517 meV per atom. The value obtained for the relative energy among the computed polymorphs is 159.0 meV/atom. The value obtained for the energy is -4.7837 eV per atom.

Unit cell a=7.1665 b=7.1665 c=4.7430 alpha=90.00 beta=90.00 gamma=90.00
Last column: nearest neighbours and their distance in Å.
Space group P4/mbm (No. 127)
Asymmetric unit:
La  0.1745  0.3255  0.0000 x4  6 Ga 3.09-3.24
Ga  0.1294  0.6294  0.5000 x4  1 Ga 2.62, 2 Si 2.81
Si  0.0000  0.0000  0.5000 x2  4 Ga 2.81

---

(4)
A plane-wave DFT calculation with GGA-PBE was carried out for La5Ga2Si after structural relaxation.

The value obtained for the formation energy from raw total energies is -500 meV per atom. The value obtained for the energy is -5.0138 eV per atom.

Unit cell a=8.0823 b=8.0823 c=14.1627 alpha=90.00 beta=90.00 gamma=90.00
Last column: nearest neighbours and their distance in Å.
Space group I4/mcm (No. 140)
Asymmetric unit:
La  0.0000  0.0000  0.0000 x4  4 Ga 3.24, 2 Si 3.54
La  0.1762  0.3239  0.1527 x16  3 Ga 3.21-3.24, 1 La 3.23, 2 Si 3.28
Ga  0.1162  0.3838  0.5000 x8  1 Ga 2.66
Si  0.0000  0.0000  0.2500 x4  10 La 3.28-3.54

---

(5)
A plane-wave DFT calculation with GGA-PBE was carried out for La3GaSi after structural relaxation.

The value obtained for the formation energy from raw total energies is -537 meV per atom. The value obtained for the relative energy among the computed polymorphs is 0.0 meV/atom. The value obtained for the energy is -5.1832 eV per atom.

Unit cell a=6.7988 b=4.7165 c=8.8403 alpha=90.00 beta=90.51 gamma=90.00
Last column: nearest neighbours and their distance in Å.
Space group P2_1/m (No. 11)
Asymmetric unit:
La  0.2384  0.2500  0.0504 x2  3 Si 3.22-3.31, 3 Ga 3.23-3.48, 3 La 3.37-3.58
La  0.2399  0.2500  0.4559 x2  3 Si 3.22-3.27, 3 Ga 3.27-3.39, 1 La 3.58
La  0.2525  0.7500  0.7780 x2  2 Si 3.15, 2 Ga 3.18, 2 La 3.37
Ga  0.4357  0.7500  0.2506 x2  1 Si 2.61
Si  0.0525  0.7500  0.2525 x2  1 Ga 2.61

---

(6)
A plane-wave DFT calculation with GGA-PBE was carried out for LaGaSi3 after structural relaxation.

The value obtained for the formation energy from raw total energies is 1251 meV per atom. The value obtained for the relative energy among the computed polymorphs is 978.8 meV/atom. The value obtained for the energy is -3.5937 eV per atom.

Unit cell a=5.5720 b=5.5720 c=5.5720 alpha=90.00 beta=90.00 gamma=90.00
Last column: nearest neighbours and their distance in Å.
Space group Pm-3m (No. 221)
Asymmetric unit:
La  0.0000  0.0000  0.0000 x1  6 Si 2.79
Ga  0.5000  0.5000  0.5000 x1  12 Si 3.94
Si  0.0000  0.0000  0.5000 x3  2 La 2.79

---

Repeat the third record exactly.
A plane-wave DFT calculation with GGA-PBE was carried out for La2Ga2Si after structural relaxation.

The value obtained for the formation energy from raw total energies is -517 meV per atom. The value obtained for the relative energy among the computed polymorphs is 159.0 meV/atom. The value obtained for the energy is -4.7837 eV per atom.

Unit cell a=7.1665 b=7.1665 c=4.7430 alpha=90.00 beta=90.00 gamma=90.00
Last column: nearest neighbours and their distance in Å.
Space group P4/mbm (No. 127)
Asymmetric unit:
La  0.1745  0.3255  0.0000 x4  6 Ga 3.09-3.24
Ga  0.1294  0.6294  0.5000 x4  1 Ga 2.62, 2 Si 2.81
Si  0.0000  0.0000  0.5000 x2  4 Ga 2.81